Material: LiCo2Mo
Method: DFT, GGA-PBE
State: relaxed

Summary:
M_tot ... 0.000 μB per formula unit
Electronic total energy ... -6.151 eV/atom
Energy relative to the lowest polymorph listed for this composition ... 0.442 eV/atom
Energy of formation ... 0.59 eV/atom

a = 5.205 Å, b = 5.205 Å, c = 5.205 Å
α = 104.28°, β = 104.28°, γ = 120.45°
Positions (direct):
Li 0.000 0.000 0.000
Li 0.750 0.250 0.500
Co 0.138 0.625 0.013
Co 0.375 0.388 0.513
Co 0.612 0.125 0.987
Co 0.875 0.862 0.487
Mo 0.250 0.750 0.500
Mo 0.500 0.500 0.000